[1]
VASP calculation (meta-GGA SCAN) on a PBEsol-optimized structure of Zr2SiHgN.

The calculation puts the total energy at -30.089 eV/atom. Its volume is 86 Å³ per cell.

The space group is P4/mmm (No. 123) and the conventional cell measures 4.358, 4.358 and 4.551 Å, with angles of 90.00, 90.00 and 90.00 degrees. The distinct sites, in fractional coordinates, are Zr at (0.000, 0.500, 0.000), Si at (0.000, 0.000, 0.500), Hg at (0.500, 0.500, 0.500) and N at (0.500, 0.500, 0.000).

=====

[2]
VASP calculation (meta-GGA SCAN) on a PBEsol-optimized structure of Sr2HgN.

The calculation puts the total energy at -30.523 eV/atom. Its volume is 382 Å³ per cell.

The space group is Fm-3m (No. 225) and the conventional cell measures 7.256, 7.256 and 7.256 Å, with angles of 90.00, 90.00 and 90.00 degrees. The distinct sites, in fractional coordinates, are Sr at (0.250, 0.250, 0.250), Hg at (0.000, 0.000, 0.000) and N at (0.000, 0.000, 0.500).

=====

[3]
VASP calculation (meta-GGA SCAN) on a PBEsol-optimized structure of TaHgN2.

The calculation puts the total energy at -38.652 eV/atom. Its volume is 266 Å³ per cell.

The space group is I-42d (No. 122) and the conventional cell measures 5.392, 5.392 and 9.154 Å, with angles of 90.00, 90.00 and 90.00 degrees. The distinct sites, in fractional coordinates, are Ta at (0.000, 0.000, 0.000), Hg at (0.000, 0.000, 0.500) and N at (0.148, 0.250, 0.125).

=====

[4]
VASP calculation (meta-GGA SCAN) on a PBEsol-optimized structure of HgTeN2.

The calculation puts the total energy at -29.838 eV/atom. Its volume is 276 Å³ per cell.

The space group is I-42d (No. 122) and the conventional cell measures 4.972, 4.972 and 11.165 Å, with angles of 90.00, 90.00 and 90.00 degrees. The distinct sites, in fractional coordinates, are Hg at (0.000, 0.000, 0.000), Te at (0.000, 0.000, 0.500) and N at (0.218, 0.250, 0.625).

=====

| no. | formation energy (no corrections) (eV/atom) |
| --- | --- |
| 1 | -0.315 |
| 2 | -0.022 |
| 3 | -0.319 |
| 4 | 1.162 |